(1)
Crystalline CaTlOs3 at its relaxed geometry, computed with GGA-PBE.

```
5
Lattice="4.799 0.000 0.000 0.000 4.799 0.000 0.000 0.000 4.799" Properties=species:S:1:pos:R:3 pbc="T T T"
Ca 0.000 0.000 0.000
Tl 2.400 2.400 2.400
Os 0.000 0.000 2.400
Os 0.000 2.400 0.000
Os 2.400 0.000 0.000
```

Summary:
Formation energy from the elements   14.95 eV/f.u.
ΔE to the lowest computed polymorph   508 meV/atom


(2)
Crystalline FeCuRh at its relaxed geometry, computed with GGA-PBE.

```
6
Lattice="2.613 0.000 0.000 0.000 4.363 0.000 0.000 0.000 7.084" Properties=species:S:1:pos:R:3 pbc="T T T"
Fe 0.000 0.000 0.000
Fe 1.306 2.182 3.542
Cu 0.000 2.182 1.295
Cu 1.306 0.000 4.837
Rh 0.000 0.000 2.603
Rh 1.306 2.182 6.145
```

Summary:
Formation energy from the elements   0.61 eV/f.u.
ΔE to the lowest computed polymorph   211 meV/atom


(3)
Crystalline Pr4Cu5Ni2 at its relaxed geometry, computed with GGA-PBE.

```
11
Lattice="7.029 0.000 0.000 0.000 4.034 0.000 -0.229 0.000 8.053" Properties=species:S:1:pos:R:3 pbc="T T T"
Pr 1.569 0.000 1.167
Pr 1.607 0.000 5.035
Pr 5.193 0.000 3.018
Pr 5.231 0.000 6.887
Cu 0.692 2.017 7.147
Cu 2.863 2.017 2.920
Cu 3.515 2.017 0.000
Cu 3.936 2.017 5.134
Cu 6.108 2.017 0.906
Ni 0.405 2.017 2.968
Ni 6.395 2.017 5.086
```

Summary:
Formation energy from the elements   -1.94 eV/f.u.


(4)
Crystalline Nd2ThNi6 at its relaxed geometry, computed with GGA-PBE.

```
9
Lattice="7.071 0.000 0.000 -3.535 6.123 0.000 0.000 0.000 3.840" Properties=species:S:1:pos:R:3 pbc="T T T"
Nd 0.000 4.082 0.000
Nd 3.535 2.041 0.000
Th 0.000 0.000 0.000
Ni -1.171 2.028 1.920
Ni -2.365 4.095 1.920
Ni 2.342 0.000 1.920
Ni 1.171 2.028 1.920
Ni 4.729 0.000 1.920
Ni 2.365 4.095 1.920
```

Summary:
Formation energy from the elements   -3.15 eV/f.u.
ΔE to the lowest computed polymorph   0 meV/atom


(5)
Crystalline Nd3Cd2Pd4 at its relaxed geometry, computed with GGA-PBE.

```
9
Lattice="6.059 -2.148 0.000 6.059 2.148 0.000 -4.350 0.000 8.031" Properties=species:S:1:pos:R:3 pbc="T T T"
Nd 0.000 0.000 0.000
Nd 3.079 0.000 2.420
Nd 4.690 0.000 5.611
Cd 1.143 0.000 5.341
Cd 6.626 0.000 2.690
Pd -1.004 0.000 3.295
Pd -0.536 0.000 7.550
Pd 8.305 0.000 0.480
Pd 8.773 0.000 4.735
```

Summary:
Formation energy from the elements   -5.93 eV/f.u.


(6)
Crystalline GaNiS2 at its relaxed geometry, computed with GGA-PBE.

```
12
Lattice="3.512 0.000 0.000 -1.756 3.041 0.000 0.000 0.000 17.155" Properties=species:S:1:pos:R:3 pbc="T T T"
Ga 0.000 0.000 0.000
Ga 0.000 2.027 11.437
Ga 1.756 1.014 5.718
Ni 0.000 0.000 8.578
Ni 0.000 2.027 2.859
Ni 1.756 1.014 14.296
S 0.000 0.000 4.135
S 0.000 0.000 13.020
S 0.000 2.027 7.302
S 0.000 2.027 15.572
S 1.756 1.014 1.583
S 1.756 1.014 9.854
```

Summary:
Raw formation energy   -0.31 eV/atom


(7)
Crystalline Ho4Cu2C at its relaxed geometry, computed with GGA-PBE.

```
14
Lattice="4.673 0.000 0.000 0.000 4.673 0.000 0.000 0.000 15.169" Properties=species:S:1:pos:R:3 pbc="T T T"
Ho 0.000 0.000 2.890
Ho 0.000 0.000 12.279
Ho 0.000 2.336 0.000
Ho 0.000 2.336 7.585
Ho 2.336 0.000 0.000
Ho 2.336 0.000 7.585
Ho 2.336 2.336 4.694
Ho 2.336 2.336 10.475
Cu 0.000 0.000 5.610
Cu 0.000 0.000 9.559
Cu 2.336 2.336 1.974
Cu 2.336 2.336 13.195
C 0.000 0.000 7.585
C 2.336 2.336 0.000
```

Summary:
Formation energy from the elements   0.75 eV/f.u.


(8)
Crystalline LiNdEuGa at its relaxed geometry, computed with GGA-PBE.

```
16
Lattice="7.526 0.000 0.000 0.000 7.526 0.000 0.000 0.000 7.526" Properties=species:S:1:pos:R:3 pbc="T T T"
Li 0.000 0.000 0.000
Li 0.000 3.763 3.763
Li 3.763 0.000 3.763
Li 3.763 3.763 0.000
Nd 1.882 1.882 5.645
Nd 1.882 5.645 1.882
Nd 5.645 1.882 1.882
Nd 5.645 5.645 5.645
Eu 1.882 1.882 1.882
Eu 1.882 5.645 5.645
Eu 5.645 1.882 5.645
Eu 5.645 5.645 1.882
Ga 0.000 0.000 3.763
Ga 0.000 3.763 0.000
Ga 3.763 0.000 0.000
Ga 3.763 3.763 3.763
```

Summary:
Formation energy from the elements   -0.95 eV/f.u.


> Which formula does entry 5 have?

Nd3Cd2Pd4